No. 1
## Tb2InOs (PBE-GGA)

Data for an optimized crystal structure of Tb2InOs.

Cell and atoms, written as POSCAR:
```
Tb2InOs
1.0
-0.652 -3.815 -0.424
1.512 -1.908 -3.039
8.339 -3.866 4.082
Tb Os In
2 1 1
Direct
0.113 0.113 0.660 Tb
0.887 0.887 0.340 Tb
0.500 0.500 0.500 Os
0.000 0.000 0.000 In
```

Summary:
As for the calculated volume: 32.175 Å³/atom. As for the space group: R-3m (166). The final energy is -22.6 eV for the cell shown. As for the formation energy: 0.62 eV/f.u. The total moment comes out at 0.00 μB/f.u.


No. 2
## SrCuN2F (PBE-GGA)

Data for an optimized crystal structure of SrCuN2F.

Cell and atoms, written as POSCAR:
```
SrCuN2F
1.0
5.041 0.000 0.000
0.000 5.041 0.000
0.000 0.000 4.542
Sr N Cu F
1 2 1 1
Direct
0.000 0.000 0.000 Sr
0.000 0.500 0.000 N
0.500 0.000 0.000 N
0.500 0.500 0.500 Cu
0.000 0.000 0.500 F
```

Summary:
As for the calculated volume: 23.081 Å³/atom. As for the space group: P4/mmm (123). The final energy is -19.9 eV for the cell shown. The value obtained for the raw formation energy is 0.8807 eV/atom. The total moment comes out at 4.00 μB/f.u.


No. 3
## TlAsP2O8 (PBE-GGA)

Data for an optimized crystal structure of TlAsP2O8.

Cell and atoms, written as POSCAR:
```
TlAsP2O8
1.0
4.709 0.000 0.000
2.354 4.078 0.000
2.354 1.359 8.939
Tl As P O
1 1 2 8
Direct
0.500 0.500 0.500 Tl
0.000 0.000 0.000 As
0.272 0.272 0.185 P
0.728 0.728 0.815 P
0.216 0.216 0.353 O
0.624 0.252 0.123 O
0.784 0.784 0.647 O
0.002 0.624 0.123 O
0.998 0.376 0.877 O
0.252 0.002 0.123 O
0.748 0.998 0.877 O
0.376 0.748 0.877 O
```

Summary:
As for the calculated volume: 14.305 Å³/atom. As for the space group: R-3 (148). The final energy is -77.9 eV for the cell shown. The value obtained for the raw formation energy is -1.7009 eV/atom. The total moment comes out at 0.00 μB/f.u.